A geometry-optimized BaOs2PtN structure. Source: Alexandria via LeMat-Bulk, functional PBE-GGA.

Calculated values
SG: No. 123
E_tot in eV for the cell shown: -35.39

```
5
Lattice="-0.549 0.316 4.008 -2.660 -4.780 0.012 3.503 -1.948 0.633" Properties=species:S:1:pos:R:3 pbc="T T T"
N 0.000 0.000 0.000
Ba -1.330 -2.390 0.006
Os -0.274 0.158 2.004
Os 1.752 -0.974 0.317
Pt 0.147 -3.206 2.327
```